# 1
First-principles (GGA-PBE) data for crystalline Ni3AgGe at its relaxed geometry, as listed in the Alexandria database.

Offset from the most stable computed form in meV/atom: 829
DFT formation energy in meV/atom: 1374.5
SG: No. 221

Cell: 4.608 4.608 4.608 Å, 90.00 90.00 90.00°
Fractional positions:
Ni 0.000 0.500 0.000
Ni 0.000 0.000 0.500
Ni 0.500 0.000 0.000
Ge 0.500 0.500 0.500
Ag 0.000 0.000 0.000

---

# 2
First-principles (GGA-PBE) data for crystalline Ni3AgGe at its relaxed geometry, as listed in the Alexandria database.

Offset from the most stable computed form in meV/atom: 0
DFT formation energy in meV/atom: 545.7
SG: No. 221

Cell: 4.340 4.340 4.340 Å, 90.00 90.00 90.00°
Fractional positions:
Ni 0.000 0.500 0.000
Ni 0.000 0.000 0.500
Ni 0.500 0.000 0.000
Ge 0.000 0.000 0.000
Ag 0.500 0.500 0.500

---

Values of V, in order: 19.57, 16.35, all in A^3/atom.
Values of total magnetic moment, in order: 1.728, 0.000, all in μB/cell.